(1)
Density functional theory data (PBE) for a relaxed TmSc2Ag crystal.

## Properties
Its electronic total energy is -20.3 eV per cell. Its space-group type is P4/mmm (123). The calculation puts the formation energy at -32.7 kJ/mol of formula units.

Cell: 3.4488 3.4488 8.0130 Å, 90.00 90.00 90.00°
Element x y z (fractional)
Sc 0.0000 0.0000 0.2118
Sc 0.0000 0.0000 0.7882
Ag 0.5000 0.5000 0.0000
Tm 0.5000 0.5000 0.5000

=====

(2)
Density functional theory data (PBE) for a relaxed ScTc2Hg crystal.

## Properties
Its electronic total energy is -25.9 eV per cell. Its space-group type is Cmmm (65). The calculation puts the formation energy at 138.5 kJ/mol of formula units.

Cell: 2.8336 2.8336 9.2132 Å, 90.00 90.00 110.21°
Element x y z (fractional)
Tc 0.0000 0.0000 0.9905
Sc 0.5000 0.5000 0.7500
Tc 0.0000 0.0000 0.5095
Hg 0.5000 0.5000 0.2500

=====

(3)
Density functional theory data (PBE) for a relaxed Cd3Se crystal.

## Properties
Its electronic total energy is -6.8 eV per cell. The calculation puts the uncorrected formation energy at -0.596 eV/f.u. Its space-group type is I4/mmm (139).

Cell: 6.9371 6.9371 6.9371 Å, 146.28 146.24 48.46°
Element x y z (fractional)
Cd 0.6415 0.4746 0.1669
Cd 0.9164 0.7500 0.1664
Se 0.4165 0.2500 0.1665
Cd 0.1923 0.0254 0.1669

=====

(4)
Density functional theory data (PBE) for a relaxed In3SCl2 crystal.

## Properties
Its electronic total energy is -39.8 eV per cell. The calculation puts the uncorrected formation energy at -3.857 eV/f.u. Its space-group type is C2/c (15).

Cell: 7.0165 7.1058 7.0165 Å, 90.96 91.03 89.04°
Element x y z (fractional)
In 0.7221 0.4635 0.0054
In 0.9946 0.9635 0.2779
In 0.6257 0.2500 0.6257
In 0.2779 0.5365 0.9946
In 0.0054 0.0365 0.7221
Cl 0.4002 0.9219 0.7337
Cl 0.5998 0.0781 0.2663
In 0.3743 0.7500 0.3743
Cl 0.7337 0.5781 0.4002
S 0.9565 0.7500 0.9565
Cl 0.2663 0.4219 0.5998
S 0.0435 0.2500 0.0435

=====

(5)
Density functional theory data (PBE) for a relaxed SmSbH crystal.

## Properties
Its electronic total energy is -13.5 eV per cell. Its space-group type is I4mm (107).

Cell: 3.3166 3.3166 6.1336 Å, 105.69 105.69 90.00°
Element x y z (fractional)
Sb 0.0057 0.0057 0.0114
Sm 0.7200 0.7200 0.4400
H 0.2743 0.2743 0.5486

=====

(6)
Density functional theory data (PBE) for a relaxed Np2Be3Si4Au crystal.

## Properties
Its electronic total energy is -64.0 eV per cell. The calculation puts the uncorrected formation energy at -1.964 eV/f.u. Its space-group type is P-4m2 (115).

Cell: 3.9252 3.9252 9.8807 Å, 90.00 90.00 90.00°
Last column: magnetic moment on the atom in μB.
Element x y z (fractional)
Np 0.5000 0.0000 0.2319  3.71
Si 0.5000 0.5000 0.0000  -0.03
Np 0.0000 0.5000 0.7681  3.71
Si 0.0000 0.0000 0.0000  -0.03
Si 0.0000 0.5000 0.3467  -0.04
Be 0.0000 0.0000 0.5000  0.00
Si 0.5000 0.0000 0.6533  -0.04
Au 0.5000 0.5000 0.5000  0.00
Be 0.0000 0.5000 0.1233  -0.01
Be 0.5000 0.0000 0.8767  -0.01

=====

(7)
Density functional theory data (PBE) for a relaxed NaCu2Pt2 crystal.

## Properties
Its electronic total energy is -21.2 eV per cell. Its space-group type is I4/mmm (139). The calculation puts the formation energy at 36.3 kJ/mol of formula units.

Cell: 3.9733 3.9733 6.1818 Å, 71.25 71.25 90.00°
Element x y z (fractional)
Cu 0.3934 0.3934 0.2131
Cu 0.6066 0.6066 0.7869
Na 0.0000 0.0000 0.0000
Pt 0.2500 0.7500 0.5000
Pt 0.7500 0.2500 0.5000

=====

(8)
Density functional theory data (PBE) for a relaxed Ac3InIr crystal.

## Properties
Its electronic total energy is -106.1 eV per cell. Its space-group type is Pnma (62). The calculation puts the formation energy at -250.6 kJ/mol of formula units.

Cell: 4.4014 10.0312 16.4770 Å, 90.00 90.00 90.00°
Element x y z (fractional)
Ir 0.2500 0.8383 0.5577
In 0.7500 0.4277 0.6717
Ac 0.7500 0.7901 0.2127
Ac 0.2500 0.4773 0.1070
Ac 0.2500 0.8352 0.9973
Ir 0.7500 0.1617 0.4423
Ac 0.2500 0.7099 0.7127
Ac 0.2500 0.9773 0.3930
Ac 0.7500 0.6648 0.4973
Ac 0.7500 0.0227 0.6070
Ir 0.7500 0.6617 0.0577
Ac 0.7500 0.2901 0.2873
In 0.2500 0.5723 0.3283
In 0.2500 0.0723 0.1717
Ac 0.2500 0.3352 0.5027
In 0.7500 0.9277 0.8283
Ir 0.2500 0.3383 0.9423
Ac 0.7500 0.5227 0.8930
Ac 0.2500 0.2099 0.7873
Ac 0.7500 0.1648 0.0027